Nd5Cu2Bi: relaxed, GGA-PBE.

Values from the calculation:
- Space-group type: I4/mcm (140)
- Energy of formation: -0.312 eV/atom
- Density of states at the Fermi level: 16.8 states/eV/cell
- V: 227.9 Å³/f.u.
- Calculated total energy: -76.81 eV per cell

Cell: 8.861 8.861 8.861 Å, 124.32 124.32 82.66°
Fractional positions:
1 Nd 0.000 0.000 0.000
2 Nd 0.011 0.511 0.804
3 Nd 0.208 0.011 0.500
4 Nd 0.292 0.792 0.804
5 Nd 0.489 0.292 0.500
6 Nd 0.500 0.500 0.000
7 Nd 0.511 0.708 0.500
8 Nd 0.708 0.208 0.196
9 Nd 0.792 0.989 0.500
10 Nd 0.989 0.489 0.196
11 Cu 0.134 0.366 0.500
12 Cu 0.366 0.866 0.232
13 Cu 0.634 0.134 0.768
14 Cu 0.866 0.634 0.500
15 Bi 0.250 0.250 0.000
16 Bi 0.750 0.750 0.000



BaInP2Se8: relaxed, GGA-PBE.

Values from the calculation:
- Space-group type: P-3 (147)
- Density of states at the Fermi level: 12.5 states/eV/cell
- V: 326.2 Å³/f.u.
- Calculated total energy: -48.56 eV per cell

Cell: 6.257 6.257 9.621 Å, 90.00 90.00 120.00°
Fractional positions:
1 Ba 0.000 0.000 0.000
2 In 0.000 0.000 0.500
3 P 0.333 0.667 0.751
4 P 0.667 0.333 0.249
5 Se 0.026 0.670 0.312
6 Se 0.330 0.356 0.312
7 Se 0.333 0.667 0.980
8 Se 0.356 0.026 0.688
9 Se 0.644 0.974 0.312
10 Se 0.667 0.333 0.020
11 Se 0.670 0.644 0.688
12 Se 0.974 0.330 0.688



Sm12CuSn6: relaxed, GGA-PBE.

Values from the calculation:
- Space-group type: R-3 (148)
- Energy of formation: -0.339 eV/atom
- Density of states at the Fermi level: 22.7 states/eV/cell
- V: 652.9 Å³/f.u.
- Calculated total energy: -91.18 eV per cell

Cell: 8.810 8.810 8.810 Å, 99.36 99.36 99.36°
Fractional positions:
1 Sm 0.021 0.682 0.945
2 Sm 0.055 0.979 0.318
3 Sm 0.194 0.425 0.562
4 Sm 0.318 0.055 0.979
5 Sm 0.425 0.562 0.194
6 Sm 0.438 0.806 0.575
7 Sm 0.562 0.194 0.425
8 Sm 0.575 0.438 0.806
9 Sm 0.682 0.945 0.021
10 Sm 0.806 0.575 0.438
11 Sm 0.945 0.021 0.682
12 Sm 0.979 0.318 0.055
13 Cu 0.000 0.000 0.000
14 Sn 0.122 0.635 0.310
15 Sn 0.310 0.122 0.635
16 Sn 0.365 0.690 0.878
17 Sn 0.635 0.310 0.122
18 Sn 0.690 0.878 0.365
19 Sn 0.878 0.365 0.690



Mg2InTc: relaxed, GGA-PBE.

Values from the calculation:
- Space-group type: Pm (6)
- Energy of formation: 0.162 eV/atom
- Density of states at the Fermi level: 1.9 states/eV/cell
- V: 74.4 Å³/f.u.
- Calculated total energy: -15.65 eV per cell

Cell: 2.862 4.871 5.336 Å, 90.00 90.18 90.00°
Fractional positions:
1 Mg 0.000 0.000 0.000
2 Mg 0.007 0.500 0.686
3 In 0.502 0.000 0.474
4 Tc 0.504 0.500 0.180